# 1
Nd12SmAl4N3 PBE optimized geometry; calculated density = 6.38 g/cm³; raw formation energy = -0.3257 eV/atom
1.0
-5.093 5.093 5.093
5.093 -5.093 5.093
5.093 5.093 -5.093
Nd Sm Al N
12 1 4 3
direct
0.000 0.274 0.274 Nd
0.000 0.726 0.726 Nd
0.250 0.500 0.750 Nd
0.250 0.750 0.500 Nd
0.274 0.000 0.274 Nd
0.274 0.274 0.000 Nd
0.500 0.250 0.750 Nd
0.500 0.750 0.250 Nd
0.726 0.000 0.726 Nd
0.726 0.726 0.000 Nd
0.750 0.250 0.500 Nd
0.750 0.500 0.250 Nd
0.000 0.000 0.000 Sm
0.000 0.000 0.500 Al
0.000 0.500 0.000 Al
0.500 0.000 0.000 Al
0.500 0.500 0.500 Al
0.000 0.500 0.500 N
0.500 0.000 0.500 N
0.500 0.500 0.000 N



# 2
RbTc2NiAs PBE optimized geometry; uncorrected energy = -24.49 eV for the cell shown; calculated density = 5.28 g/cm³
1.0
4.685 0.000 0.000
0.000 4.685 0.000
0.000 0.000 5.941
Rb Tc Ni As
1 2 1 1
direct
0.000 0.000 0.000 Rb
0.000 0.500 0.500 Tc
0.500 0.000 0.500 Tc
0.500 0.500 0.000 Ni
0.000 0.000 0.500 As



# 3
Th2CuRhAu PBE optimized geometry; uncorrected energy = -64.88 eV for the cell shown; calculated density = 12.10 g/cm³
1.0
7.152 0.000 0.000
0.000 4.281 0.000
-2.085 0.000 7.422
Th Cu Rh Au
4 2 2 2
direct
0.148 0.250 0.353 Th
0.289 0.250 0.934 Th
0.711 0.750 0.066 Th
0.852 0.750 0.647 Th
0.458 0.750 0.349 Cu
0.542 0.250 0.651 Cu
0.131 0.750 0.094 Rh
0.869 0.250 0.906 Rh
0.307 0.750 0.653 Au
0.693 0.250 0.347 Au